(1)
First-principles (PBE) data for crystalline NaLaNdTm at its relaxed geometry, as listed in Alexandria via LeMat-Bulk.

```
NaLaNdTm
1.0
5.770 0.000 0.000
2.885 4.997 0.000
2.885 1.666 4.711
Na Tm Nd La
1 1 1 1
Direct
0.750 0.750 0.750
0.250 0.250 0.250
0.500 0.500 0.500
0.000 0.000 0.000
```

Values from the calculation:
M_tot ... 0.000 μB per atom
N(E_F) ... 5.4 states/eV/cell
SG ... F-43m, No. 216
VASP energy ... -3.62 eV/atom
V ... 33.963 Å³/atom
Energy relative to the elements ... 0.2480 eV per atom

---

(2)
First-principles (PBE) data for crystalline NaLaNi3 at its relaxed geometry, as listed in Alexandria via LeMat-Bulk.

```
NaLaNi3
1.0
-1.392 1.490 -4.484
-0.723 -4.687 -1.333
-4.670 0.282 1.543
Ni Na La
3 1 1
Direct
0.000 0.500 0.000
0.000 0.000 0.500
0.500 0.000 0.000
0.500 0.500 0.500
0.000 0.000 0.000
```

Values from the calculation:
M_tot ... 0.000 μB per atom
Excess energy over the best structure of this formula in the dataset ... 258 meV/atom
N(E_F) ... 4.6 states/eV/cell
SG ... Pm-3m, No. 221
VASP energy ... -3.72 eV/atom
V ... 23.909 Å³/atom
Energy relative to the elements ... 1.0023 eV per atom

---

(3)
First-principles (PBE) data for crystalline NaLa2Ni2 at its relaxed geometry, as listed in Alexandria via LeMat-Bulk.

```
NaLa2Ni2
1.0
3.645 0.000 0.000
0.000 3.645 0.000
1.823 1.823 10.364
Ni Na La
2 1 2
Direct
0.750 0.250 0.500
0.250 0.750 0.500
0.000 0.000 0.000
0.351 0.351 0.298
0.649 0.649 0.702
```

Values from the calculation:
M_tot ... 0.007 μB per atom
Excess energy over the best structure of this formula in the dataset ... 155 meV/atom
N(E_F) ... 5.9 states/eV/cell
SG ... I4/mmm, No. 139
VASP energy ... -4.55 eV/atom
V ... 27.542 Å³/atom
Energy relative to the elements ... 0.0018 eV per atom

---

(4)
First-principles (PBE) data for crystalline NaLaNi3 at its relaxed geometry, as listed in Alexandria via LeMat-Bulk.

```
NaLaNi3
1.0
4.556 0.000 0.000
0.000 4.556 0.000
0.000 0.000 4.556
Ni Na La
3 1 1
Direct
0.000 0.500 0.000
0.000 0.000 0.500
0.500 0.000 0.000
0.000 0.000 0.000
0.500 0.500 0.500
```

Values from the calculation:
M_tot ... 0.000 μB per atom
Excess energy over the best structure of this formula in the dataset ... 0 meV/atom
N(E_F) ... 4.3 states/eV/cell
SG ... Pm-3m, No. 221
VASP energy ... -3.97 eV/atom
V ... 18.911 Å³/atom
Energy relative to the elements ... 0.7447 eV per atom

---

(5)
First-principles (PBE) data for crystalline Na3LaNi at its relaxed geometry, as listed in Alexandria via LeMat-Bulk.

```
Na3LaNi
1.0
5.236 0.000 0.000
0.000 5.236 0.000
0.000 0.000 5.236
Ni Na La
1 3 1
Direct
0.000 0.000 0.000
0.000 0.500 0.000
0.000 0.000 0.500
0.500 0.000 0.000
0.500 0.500 0.500
```

Values from the calculation:
M_tot ... 0.025 μB per atom
N(E_F) ... 4.8 states/eV/cell
SG ... Pm-3m, No. 221
VASP energy ... -2.33 eV/atom
V ... 28.714 Å³/atom
Energy relative to the elements ... 0.6057 eV per atom

---

(6)
First-principles (PBE) data for crystalline NaLa2Ni2 at its relaxed geometry, as listed in Alexandria via LeMat-Bulk.

```
NaLa2Ni2
1.0
-2.783 -7.110 2.163
6.975 -3.296 -1.859
1.237 0.603 3.573
Ni Na La
4 2 4
Direct
0.381 0.881 0.000
0.881 0.619 0.000
0.619 0.119 0.000
0.119 0.381 0.000
0.000 0.000 0.000
0.500 0.500 0.000
0.162 0.662 0.500
0.662 0.838 0.500
0.838 0.338 0.500
0.338 0.162 0.500
```

Values from the calculation:
M_tot ... 0.000 μB per atom
Excess energy over the best structure of this formula in the dataset ... 0 meV/atom
N(E_F) ... 8.8 states/eV/cell
SG ... P4/mbm, No. 127
VASP energy ... -4.70 eV/atom
V ... 24.114 Å³/atom
Energy relative to the elements ... -0.1536 eV per atom

---

(7)
First-principles (PBE) data for crystalline Na2La2Ni at its relaxed geometry, as listed in Alexandria via LeMat-Bulk.

```
Na2La2Ni
1.0
7.239 0.000 0.000
0.000 7.239 0.000
0.000 0.000 6.500
Ni Na La
2 4 4
Direct
0.000 0.000 0.000
0.500 0.500 0.000
0.168 0.668 0.500
0.668 0.832 0.500
0.832 0.332 0.500
0.332 0.168 0.500
0.328 0.828 0.000
0.828 0.672 0.000
0.672 0.172 0.000
0.172 0.328 0.000
```

Values from the calculation:
M_tot ... 0.000 μB per atom
N(E_F) ... 3.3 states/eV/cell
SG ... P4/mbm, No. 127
VASP energy ... -3.49 eV/atom
V ... 34.064 Å³/atom
Energy relative to the elements ... 0.1680 eV per atom

---

(8)
First-principles (PBE) data for crystalline NaLaNi at its relaxed geometry, as listed in Alexandria via LeMat-Bulk.

```
NaLaNi
1.0
-2.642 -0.857 3.024
-0.967 -3.280 -1.773
7.187 -6.742 4.369
La Ni Na
2 2 2
Direct
0.250 0.075 0.851
0.750 0.925 0.149
0.250 0.465 0.070
0.750 0.535 0.930
0.750 0.698 0.603
0.250 0.302 0.397
```

Values from the calculation:
M_tot ... 0.000 μB per atom
Excess energy over the best structure of this formula in the dataset ... 61 meV/atom
N(E_F) ... 5.4 states/eV/cell
SG ... Cmcm, No. 63
VASP energy ... -4.18 eV/atom
V ... 27.957 Å³/atom
Energy relative to the elements ... -0.1676 eV per atom

---

(9)
First-principles (PBE) data for crystalline NaLa2Ni2 at its relaxed geometry, as listed in Alexandria via LeMat-Bulk.

```
NaLa2Ni2
1.0
-7.136 -4.366 0.666
1.973 -2.019 7.903
-1.608 2.799 1.117
Ni Na La
4 2 4
Direct
0.139 0.639 0.500
0.639 0.861 0.500
0.861 0.361 0.500
0.361 0.139 0.500
0.000 0.000 0.000
0.500 0.500 0.000
0.353 0.853 0.000
0.853 0.647 0.000
0.647 0.147 0.000
0.147 0.353 0.000
```

Values from the calculation:
M_tot ... 0.000 μB per atom
Excess energy over the best structure of this formula in the dataset ... 150 meV/atom
N(E_F) ... 7.9 states/eV/cell
SG ... P4/mbm, No. 127
VASP energy ... -4.55 eV/atom
V ... 24.057 Å³/atom
Energy relative to the elements ... -0.0041 eV per atom

---

(10)
First-principles (PBE) data for crystalline NaLaNi2 at its relaxed geometry, as listed in Alexandria via LeMat-Bulk.

```
NaLaNi2
1.0
7.410 0.000 0.000
0.000 7.410 0.000
3.705 3.705 2.896
Ni Na La
4 2 2
Direct
0.633 0.125 0.250
0.117 0.625 0.250
0.375 0.367 0.750
0.875 0.883 0.750
0.500 0.500 0.000
0.250 0.750 0.500
0.000 0.000 0.000
0.750 0.250 0.500
```

Values from the calculation:
M_tot ... 0.000 μB per atom
N(E_F) ... 1.0 states/eV/cell
SG ... I-42d, No. 122
VASP energy ... -4.18 eV/atom
V ... 19.879 Å³/atom
Energy relative to the elements ... 0.2772 eV per atom

---

(11)
First-principles (PBE) data for crystalline NaLaNi4 at its relaxed geometry, as listed in Alexandria via LeMat-Bulk.

```
NaLaNi4
1.0
-4.551 2.175 -0.541
-2.970 0.709 4.051
-0.798 4.687 1.771
Ni Na La
4 1 1
Direct
0.625 0.625 0.124
0.625 0.124 0.625
0.625 0.625 0.625
0.124 0.625 0.625
0.000 0.000 0.000
0.250 0.250 0.250
```

Values from the calculation:
M_tot ... 0.000 μB per atom
N(E_F) ... 4.0 states/eV/cell
SG ... F-43m, No. 216
VASP energy ... -5.03 eV/atom
V ... 15.388 Å³/atom
Energy relative to the elements ... -0.1367 eV per atom

---

(12)
First-principles (PBE) data for crystalline NaLaNi at its relaxed geometry, as listed in Alexandria via LeMat-Bulk.

```
NaLaNi
1.0
-3.691 -1.608 0.546
-1.099 -3.319 -2.073
4.939 -7.905 10.040
Na La Ni
2 2 2
Direct
0.626 0.981 0.673
0.959 0.314 0.909
0.297 0.644 0.427
0.296 0.644 0.154
0.630 0.977 0.291
0.964 0.311 0.291
```

Values from the calculation:
M_tot ... 0.000 μB per atom
Excess energy over the best structure of this formula in the dataset ... 0 meV/atom
N(E_F) ... 6.6 states/eV/cell
SG ... C2, No. 5
VASP energy ... -4.24 eV/atom
V ... 32.648 Å³/atom
Energy relative to the elements ... -0.2284 eV per atom